# GGA-PBE Al2SbCl, optimized geometry
# **Crystal system**: tetragonal
# **Calculated total energy**: -3.28 eV per atom
# **Magnetization**: 0.00 Bohr magnetons per cell
# **E above lowest polymorph**: 0.3456 eV/atom
data_Al2SbCl
_cell_length_a 3.262
_cell_length_b 3.262
_cell_length_c 8.474
_cell_angle_alpha 90.00
_cell_angle_beta 90.00
_cell_angle_gamma 90.00
_symmetry_space_group_name_H-M 'P 4/m m m'
_symmetry_Int_Tables_number 123
_symmetry_space_group_name_Hall '-P 4 2'
loop_
_atom_site_label
_atom_site_type_symbol
_atom_site_fract_x
_atom_site_fract_y
_atom_site_fract_z
Al1 Al 0.000 0.000 0.239
Sb1 Sb 0.500 0.500 0.500
Cl1 Cl 0.500 0.500 0.000